DFT (GGA-PBEsol) results for an optimized crystal structure of SmAl3Pd2.

**Energy**: -0.42184 Ry/atom
**Space group**: P6/mmm
**Energy of formation from the pure elements**: -858.7 meV/atom
**Fermi-level density of states**: 2.77 states/eV/f.u.

```
SmAl3Pd2
1.0
-2.0210 0.0998 3.6469
4.3627 -1.9911 2.4721
-0.6223 5.3367 -0.4909
Sm Pd Al
1 2 3
Cartesian
0.0000 0.0000 0.0000
1.0393 2.8941 0.4968
2.7010 0.4515 1.4844
-1.3217 2.7182 1.5780
0.8597 1.7227 2.8141
1.1708 -0.9456 3.0595
```